MgBeBr2 | PBE | relaxed

a b c (Å): 3.3489 3.7674 8.7125
angles (deg): 86.56 90.00 90.00
Fractional coordinates of all 4 atoms:
1 Be 0.5000 0.7707 0.7504
2 Mg 0.0000 0.6318 0.5063
3 Br 0.0000 0.8682 0.9051
4 Br 0.5000 0.2293 0.3383

Values from the calculation:
Calculated total energy   -10.42 eV per cell
Formation energy without anion corrections   -0.44 eV/atom


Mg2BeBr | PBE | relaxed

a b c (Å): 5.5153 5.5153 5.5153
angles (deg): 143.82 112.51 79.05
Fractional coordinates of all 4 atoms:
1 Be 0.7500 0.2500 0.5000
2 Mg 0.9827 0.9827 0.0000
3 Mg 0.5173 0.5173 0.0000
4 Br 0.2500 0.7500 0.5000

Values from the calculation:
DOS(E_F)   1.0 states/eV/f.u.
Calculated total energy   -7.93 eV per cell
Formation energy without anion corrections   0.16 eV/atom


MgBe2Br | PBE | relaxed

a b c (Å): 5.3973 5.3973 5.3973
angles (deg): 138.61 138.61 59.97
Fractional coordinates of all 4 atoms:
1 Be 0.0000 0.0000 0.0000
2 Be 0.2500 0.7500 0.5000
3 Mg 0.7500 0.2500 0.5000
4 Br 0.5000 0.5000 0.0000

Values from the calculation:
DOS(E_F)   1.5 states/eV/f.u.
Calculated total energy   -7.85 eV per cell
Formation energy without anion corrections   0.72 eV/atom


MgBeBr4 | PBE | relaxed

a b c (Å): 7.1303 7.1303 10.4382
angles (deg): 90.00 90.00 90.00
Fractional coordinates of all 12 atoms:
1 Mg 0.0000 0.0000 0.5000
2 Mg 0.0000 0.0000 0.0000
3 Be 0.0000 0.5000 0.0000
4 Be 0.5000 0.0000 0.5000
5 Br 0.7285 0.2321 0.5000
6 Br 0.7679 0.2715 0.0000
7 Br 0.7285 0.7679 0.5000
8 Br 0.2321 0.7285 0.0000
9 Br 0.2715 0.7679 0.5000
10 Br 0.2321 0.2715 0.0000
11 Br 0.7679 0.7285 0.0000
12 Br 0.2715 0.2321 0.5000

Values from the calculation:
DOS(E_F)   0.0 states/eV/f.u.
Calculated total energy   -35.26 eV per cell
Formation energy without anion corrections   -0.94 eV/atom


MgBe2Br | PBE | relaxed

a b c (Å): 6.0131 3.5934 3.5934
angles (deg): 90.00 90.00 90.00
Fractional coordinates of all 4 atoms:
1 Be 0.0000 0.0000 0.0000
2 Be 0.0000 0.5000 0.5000
3 Mg 0.5000 0.0000 0.5000
4 Br 0.5000 0.5000 0.0000

Values from the calculation:
DOS(E_F)   2.5 states/eV/f.u.
Calculated total energy   -7.95 eV per cell
Formation energy without anion corrections   0.69 eV/atom


MgBe2Br | PBE | relaxed

a b c (Å): 3.2032 3.1064 8.0989
angles (deg): 90.00 90.00 90.00
Fractional coordinates of all 4 atoms:
1 Be 0.0000 0.0000 0.0410
2 Be 0.5000 0.5000 0.0951
3 Mg 0.5000 0.5000 0.7785
4 Br 0.0000 0.0000 0.5854

Values from the calculation:
DOS(E_F)   1.1 states/eV/f.u.
Calculated total energy   -9.77 eV per cell
Formation energy without anion corrections   0.24 eV/atom


MgBeBr2 | PBE | relaxed

a b c (Å): 7.1940 7.1940 7.1940
angles (deg): 148.77 148.77 44.75
Fractional coordinates of all 4 atoms:
1 Be 0.7500 0.2500 0.5000
2 Mg 0.5000 0.5000 0.0000
3 Br 0.0000 0.0000 0.0000
4 Br 0.2500 0.7500 0.5000

Values from the calculation:
DOS(E_F)   2.5 states/eV/f.u.
Calculated total energy   -8.28 eV per cell
Formation energy without anion corrections   0.10 eV/atom


Mg2BeBr | PBE | relaxed

a b c (Å): 3.2158 3.2159 7.6489
angles (deg): 90.00 90.00 90.02
Fractional coordinates of all 4 atoms:
1 Be 0.5000 0.5000 0.2500
2 Mg 0.0000 0.0000 0.0351
3 Mg 0.0000 0.0000 0.4649
4 Br 0.5000 0.5000 0.7500

Values from the calculation:
DOS(E_F)   0.8 states/eV/f.u.
Calculated total energy   -8.68 eV per cell
Formation energy without anion corrections   -0.02 eV/atom


MgBe2Br | PBE | relaxed

a b c (Å): 4.6595 4.6595 4.6595
angles (deg): 60.00 60.00 60.00
Fractional coordinates of all 4 atoms:
1 Be 0.0000 0.0000 0.0000
2 Be 0.2500 0.2500 0.2500
3 Mg 0.7500 0.7500 0.7500
4 Br 0.5000 0.5000 0.5000

Values from the calculation:
DOS(E_F)   4.6 states/eV/f.u.
Calculated total energy   -6.92 eV per cell
Formation energy without anion corrections   0.95 eV/atom


MgBeBr3 | PBE | relaxed

a b c (Å): 5.2363 5.2363 5.2363
angles (deg): 90.00 90.00 90.00
Each line ends with the local moment (μB).
Fractional coordinates of all 5 atoms:
1 Mg 0.0000 0.0000 0.0000  0.00
2 Be 0.5000 0.5000 0.5000  0.34
3 Br 0.0000 0.5000 0.0000  0.03
4 Br 0.0000 0.0000 0.5000  0.03
5 Br 0.5000 0.0000 0.0000  0.03

Values from the calculation:
DOS(E_F)   0.9 states/eV/f.u.
Calculated total energy   -11.47 eV per cell
Formation energy without anion corrections   -0.23 eV/atom


MgBe4Br | PBE | relaxed

a b c (Å): 4.8560 4.8560 4.8560
angles (deg): 60.00 60.00 60.00
Fractional coordinates of all 6 atoms:
1 Mg 0.0000 0.0000 0.0000
2 Be 0.8993 0.3669 0.3669
3 Be 0.3669 0.3669 0.8993
4 Be 0.3669 0.8993 0.3669
5 Be 0.3669 0.3669 0.3669
6 Br 0.7500 0.7500 0.7500

Values from the calculation:
DOS(E_F)   3.6 states/eV/f.u.
Calculated total energy   -14.53 eV per cell
Formation energy without anion corrections   0.61 eV/atom


MgBeBr4 | PBE | relaxed

a b c (Å): 6.3389 6.3389 6.3389
angles (deg): 60.00 60.00 60.00
Each line ends with the local moment (μB).
Fractional coordinates of all 6 atoms:
1 Mg 0.7500 0.7500 0.7500  -0.05
2 Be 0.0000 0.0000 0.0000  0.05
3 Br 0.8726 0.3758 0.3758  0.32
4 Br 0.3758 0.3758 0.8726  0.32
5 Br 0.3758 0.8726 0.3758  0.32
6 Br 0.3758 0.3758 0.3758  0.32

Values from the calculation:
DOS(E_F)   7.9 states/eV/f.u.
Calculated total energy   -7.33 eV per cell
Formation energy without anion corrections   0.78 eV/atom